VASP calculation (PBE-GGA) on RbTiTc2F after structural relaxation.

Properties
The total energy is -5.265 eV/atom.

Cell lengths 4.282, 4.822, 4.282 Å; angles 90.00, 90.00, 90.00 degrees
Atoms (fractional coordinates):
F  0.000  0.000  0.000
Tc  0.000  0.000  0.500
Tc  0.500  0.000  0.000
Rb  0.000  0.500  0.000
Ti  0.500  0.500  0.500